(1)
Below is Nd3YIr3 after structural relaxation, with properties calculated at the PBE-GGA level.

## Properties
**Calculated volume**: 707.94 Å³/cell
**Total magnetization**: 0.00 Bohr magnetons per cell
**DFT formation energy**: -12.55 kcal/mol of atoms

a b c (Å): 10.880 9.707 6.844
angles (deg): 90.00 101.63 90.00
Space group C2/m (No. 12)
One atom of each set of equivalent atoms:
Nd1 0.000 0.191 0.000
Nd2 0.000 0.274 0.500
Nd3 0.201 0.500 0.006
Y1 0.216 0.000 0.453
Ir1 0.053 0.000 0.712
Ir2 0.246 0.250 0.748

=====

(2)
Below is NdY2Ir after structural relaxation, with properties calculated at the PBE-GGA level.

## Properties
**Calculated volume**: 109.60 Å³/cell
**Total magnetization**: 0.00 Bohr magnetons per cell
**Energy relative to the lowest polymorph listed for this composition**: 123 meV per atom
**DFT formation energy**: -9.29 kcal/mol of atoms

a b c (Å): 3.498 3.498 8.960
angles (deg): 90.00 90.00 90.00
Space group P4/mmm (No. 123)
One atom of each set of equivalent atoms:
Nd1 0.000 0.000 0.000
Y1 0.500 0.500 0.317
Ir1 0.000 0.000 0.500

=====

(3)
Below is NdYIr after structural relaxation, with properties calculated at the PBE-GGA level.

## Properties
**Calculated volume**: 94.66 Å³/cell
**Total magnetization**: 0.00 Bohr magnetons per cell
**Energy relative to the lowest polymorph listed for this composition**: 111 meV per atom
**DFT formation energy**: -11.33 kcal/mol of atoms

a b c (Å): 4.1705 4.1705 6.2841
angles (deg): 90.00 90.00 120.00
Space group P3m1 (No. 156)
One atom of each set of equivalent atoms:
Nd1 0.0000 0.0000 0.0000
Y1 0.3333 0.6667 0.5409
Ir1 0.6667 0.3333 0.7615

=====

(4)
Below is NdY2Ir after structural relaxation, with properties calculated at the PBE-GGA level.

## Properties
**Calculated volume**: 447.18 Å³/cell
**Total magnetization**: 0.00 Bohr magnetons per cell
**Energy relative to the lowest polymorph listed for this composition**: 34 meV per atom
**DFT formation energy**: -11.34 kcal/mol of atoms

a b c (Å): 3.864 12.378 9.351
angles (deg): 90.00 90.00 90.00
Space group Cmcm (No. 63)
One atom of each set of equivalent atoms:
Nd1 0.000 0.074 0.250
Y1 0.000 0.357 0.068
Ir1 0.000 0.247 0.750

=====

(5)
Below is NdY2Ir after structural relaxation, with properties calculated at the PBE-GGA level.

## Properties
**Calculated volume**: 372.60 Å³/cell
**Total magnetization**: 0.00 Bohr magnetons per cell
**Energy relative to the lowest polymorph listed for this composition**: 189 meV per atom
**DFT formation energy**: -7.75 kcal/mol of atoms

a b c (Å): 4.0076 4.0076 26.7890
angles (deg): 90.00 90.00 120.00
Space group R3m (No. 160, hexagonal axes)
One atom of each set of equivalent atoms:
Nd1 0.0000 0.0000 0.0000
Y1 0.0000 0.0000 0.5536
Y2 0.0000 0.0000 0.7747
Ir1 0.0000 0.0000 0.1642

=====

(6)
Below is NdY4Ir5 after structural relaxation, with properties calculated at the PBE-GGA level.

## Properties
**Calculated volume**: 206.90 Å³/cell
**Total magnetization**: 0.00 Bohr magnetons per cell
**DFT formation energy**: -16.42 kcal/mol of atoms

a b c (Å): 3.513 3.513 16.764
angles (deg): 90.00 90.00 90.00
Space group P4/mmm (No. 123)
One atom of each set of equivalent atoms:
Nd1 0.000 0.000 0.000
Y1 0.000 0.000 0.203
Y2 0.000 0.000 0.401
Ir1 0.500 0.500 0.106
Ir2 0.500 0.500 0.302
Ir3 0.500 0.500 0.500

=====

(7)
Below is Nd3Y2Ir2 after structural relaxation, with properties calculated at the PBE-GGA level.

## Properties
**Calculated volume**: 394.11 Å³/cell
**Total magnetization**: 0.00 Bohr magnetons per cell
**DFT formation energy**: -12.06 kcal/mol of atoms

a b c (Å): 12.303 3.957 8.941
angles (deg): 90.00 115.10 90.00
Space group C2/m (No. 12)
One atom of each set of equivalent atoms:
Nd1 0.000 0.000 0.000
Nd2 0.116 0.000 0.428
Y1 0.171 0.500 0.813
Ir1 0.184 0.500 0.236

=====

(8)
Below is Nd3YIr8 after structural relaxation, with properties calculated at the PBE-GGA level.

## Properties
**Calculated volume**: 676.85 Å³/cell
**Total magnetization**: 0.00 Bohr magnetons per cell
**DFT formation energy**: -16.55 kcal/mol of atoms

a b c (Å): 5.4252 5.4252 26.5538
angles (deg): 90.00 90.00 120.00
Space group R3m (No. 160, hexagonal axes)
One atom of each set of equivalent atoms:
Nd1 0.0000 0.0000 0.0000
Nd2 0.0000 0.0000 0.1251
Nd3 0.0000 0.0000 0.6246
Y1 0.0000 0.0000 0.4997
Ir1 0.0000 0.0000 0.3124
Ir2 0.0000 0.0000 0.8125
Ir3 0.9996 0.4998 0.5617
Ir4 0.0008 0.5004 0.0631

=====

(9)
Below is NdYIr after structural relaxation, with properties calculated at the PBE-GGA level.

## Properties
**Calculated volume**: 162.79 Å³/cell
**Total magnetization**: 0.00 Bohr magnetons per cell
**Energy relative to the lowest polymorph listed for this composition**: 130 meV per atom
**DFT formation energy**: -10.91 kcal/mol of atoms

a b c (Å): 3.530 3.530 13.065
angles (deg): 90.00 90.00 90.00
Space group I4mm (No. 107)
One atom of each set of equivalent atoms:
Nd1 0.000 0.000 0.000
Y1 0.000 0.000 0.253
Ir1 0.000 0.000 0.632

=====

(10)
Below is Nd2Y2Ir3 after structural relaxation, with properties calculated at the PBE-GGA level.

## Properties
**Calculated volume**: 502.22 Å³/cell
**Total magnetization**: 0.00 Bohr magnetons per cell
**Energy relative to the lowest polymorph listed for this composition**: 0 meV per atom
**DFT formation energy**: -16.19 kcal/mol of atoms

a b c (Å): 4.8661 4.8661 24.4779
angles (deg): 90.00 90.00 120.00
Space group R-3m (No. 166, hexagonal axes)
One atom of each set of equivalent atoms:
Nd1 0.0000 0.0000 0.1240
Y1 0.0000 0.0000 0.3738
Ir1 0.0000 0.0000 0.0000
Ir2 0.0000 0.0000 0.2521

=====

(11)
Below is NdYIr after structural relaxation, with properties calculated at the PBE-GGA level.

## Properties
**Calculated volume**: 330.96 Å³/cell
**Total magnetization**: 0.00 Bohr magnetons per cell
**Energy relative to the lowest polymorph listed for this composition**: 22 meV per atom
**DFT formation energy**: -13.39 kcal/mol of atoms

a b c (Å): 6.917 6.917 6.917
angles (deg): 90.00 90.00 90.00
Space group F-43m (No. 216)
One atom of each set of equivalent atoms:
Nd1 0.000 0.000 0.000
Y1 0.000 0.000 0.500
Ir1 0.250 0.250 0.250

=====

(12)
Below is NdY2Ir after structural relaxation, with properties calculated at the PBE-GGA level.

## Properties
**Calculated volume**: 448.96 Å³/cell
**Total magnetization**: 0.00 Bohr magnetons per cell
**Energy relative to the lowest polymorph listed for this composition**: 0 meV per atom
**DFT formation energy**: -12.12 kcal/mol of atoms

a b c (Å): 7.317 9.430 6.507
angles (deg): 90.00 90.00 90.00
Space group Pnma (No. 62)
One atom of each set of equivalent atoms:
Nd1 0.035 0.250 0.136
Y1 0.174 0.065 0.671
Ir1 0.119 0.750 0.441

=====

no.,E_tot (eV/cell)
1,-204.6
2,-28.2
3,-21.6
4,-114.1
5,-83.7
6,-82.0
7,-97.2
8,-300.8
9,-43.0
10,-161.9
11,-87.3
12,-114.6